1) Entry from Alexandria via LeMat-Bulk: a geometry-optimized TePIN2 structure (PBE).

a b c (Å): 3.9288 3.9288 7.8662
angles (deg): 90.00 90.00 90.00
Space group P4/mmm (No. 123)
One atom of each set of equivalent atoms:
Te 0.0000 0.0000 0.0000
P 0.5000 0.5000 0.0000
I 0.0000 0.0000 0.5000
N 0.0000 0.5000 0.5000

Summary:
- Calculated volume: 24.3 Å³ per atom

2) Entry from Alexandria via LeMat-Bulk: a geometry-optimized TePIN2 structure (PBE).

a b c (Å): 3.9748 3.9748 8.3601
angles (deg): 90.00 90.00 90.00
Space group P4/mmm (No. 123)
One atom of each set of equivalent atoms:
Te 0.0000 0.0000 0.0000
P 0.5000 0.5000 0.5000
I 0.0000 0.0000 0.5000
N 0.0000 0.5000 0.0000

Summary:
- Calculated volume: 26.4 Å³ per atom

3) Entry from Alexandria via LeMat-Bulk: a geometry-optimized TePIN2 structure (PBE).

a b c (Å): 3.9498 3.9498 5.7884
angles (deg): 90.00 90.00 90.00
Space group P4/mmm (No. 123)
One atom of each set of equivalent atoms:
Te 0.0000 0.0000 0.0000
P 0.0000 0.0000 0.5000
I 0.5000 0.5000 0.0000
N 0.0000 0.5000 0.5000

Summary:
- Calculated volume: 18.1 Å³ per atom

Most stable: 3) (next structure +114 meV/atom)